{
  "formula": "CaBeAg2",
  "functional": "PBEsol",
  "state": "relaxed",
  "sg": "No. 38",
  "magmom_total_mub_per_atom": 0.00,
  "formation_enthalpy_0k_ev_per_atom": 0.096,
  "lattice_angstrom": [[4.2109, 0.0000, 0.0000], [0.0000, 1.6554, 5.4367], [0.0000, -1.6554, 5.4367]],
  "species": ["Ca", "Be", "Ag", "Ag"],
  "fractional_positions": [[0.0000, 0.0000, 0.0000], [0.5000, 0.3542, 0.3542], [0.0000, 0.2668, 0.2668], [0.5000, 0.6764, 0.6764]]
}

{
  "formula": "CaBeAg",
  "functional": "PBEsol",
  "state": "relaxed",
  "sg": "No. 216",
  "e_above_lowest_polymorph_mev_per_atom": 248,
  "magmom_total_mub_per_atom": 0.00,
  "formation_enthalpy_0k_ev_per_atom": 0.325,
  "lattice_angstrom": [[0.0000, 3.1519, 3.1519], [3.1519, 0.0000, 3.1519], [3.1519, 3.1519, 0.0000]],
  "species": ["Ca", "Be", "Ag"],
  "fractional_positions": [[0.0000, 0.0000, 0.0000], [0.2500, 0.2500, 0.2500], [0.5000, 0.5000, 0.5000]]
}

{
  "formula": "CaBe3Ag",
  "functional": "PBEsol",
  "state": "relaxed",
  "sg": "No. 221",
  "magmom_total_mub_per_atom": 0.00,
  "formation_enthalpy_0k_ev_per_atom": 2.132,
  "lattice_angstrom": [[5.0093, 0.0000, 0.0000], [0.0000, 5.0093, 0.0000], [0.0000, 0.0000, 5.0093]],
  "species": ["Ca", "Be", "Be", "Be", "Ag"],
  "fractional_positions": [[0.0000, 0.0000, 0.0000], [0.0000, 0.0000, 0.5000], [0.0000, 0.5000, 0.0000], [0.5000, 0.0000, 0.0000], [0.5000, 0.5000, 0.5000]]
}

{
  "formula": "Ca2BeAg",
  "functional": "PBEsol",
  "state": "relaxed",
  "sg": "No. 12",
  "magmom_total_mub_per_atom": 0.00,
  "formation_enthalpy_0k_ev_per_atom": 0.326,
  "lattice_angstrom": [[3.4581, -1.9318, 0.0000], [3.4581, 1.9318, 0.0000], [-2.1202, 0.0000, 7.8517]],
  "species": ["Ca", "Ca", "Be", "Ag"],
  "fractional_positions": [[0.2471, 0.2471, 0.2413], [0.7529, 0.7529, 0.7587], [0.5000, 0.5000, 0.0000], [0.0000, 0.0000, 0.5000]]
}

{
  "formula": "CaBeAg3",
  "functional": "PBEsol",
  "state": "relaxed",
  "sg": "No. 221",
  "magmom_total_mub_per_atom": 0.00,
  "formation_enthalpy_0k_ev_per_atom": 1.494,
  "lattice_angstrom": [[5.1944, 0.0000, 0.0000], [0.0000, 5.1944, 0.0000], [0.0000, 0.0000, 5.1944]],
  "species": ["Ca", "Be", "Ag", "Ag", "Ag"],
  "fractional_positions": [[0.0000, 0.0000, 0.0000], [0.5000, 0.5000, 0.5000], [0.0000, 0.0000, 0.5000], [0.0000, 0.5000, 0.0000], [0.5000, 0.0000, 0.0000]]
}

{
  "formula": "CaBeAg",
  "functional": "PBEsol",
  "state": "relaxed",
  "sg": "No. 107",
  "e_above_lowest_polymorph_mev_per_atom": 0,
  "magmom_total_mub_per_atom": 0.00,
  "formation_enthalpy_0k_ev_per_atom": 0.077,
  "lattice_angstrom": [[-1.6342, 1.6342, 5.1913], [1.6342, -1.6342, 5.1913], [1.6342, 1.6342, -5.1913]],
  "species": ["Ca", "Be", "Ag"],
  "fractional_positions": [[0.0000, 0.0000, 0.0000], [0.2960, 0.2960, 0.0000], [0.7117, 0.7117, 0.0000]]
}